No. 1
## Li3Fe4NiO8 (PBE with a Hubbard U)

Data for crystalline Li3Fe4NiO8 at its relaxed geometry.

Geometry as CIF:
```
data_Li3Fe4NiO8
_cell_length_a 10.4194
_cell_length_b 5.9666
_cell_length_c 5.9539
_cell_angle_alpha 90.00
_cell_angle_beta 124.61
_cell_angle_gamma 90.00
_space_group_name_H-M_alt 'C 1 2/m 1'
_space_group_IT_number 12
loop_
_space_group_symop_operation_xyz
'x,y,z'
'-x,-y,-z'
'-x,y,-z'
'x,-y,z'
'x+1/2,y+1/2,z'
'-x+1/2,-y+1/2,-z'
'-x+1/2,y+1/2,-z'
'x+1/2,-y+1/2,z'
loop_
_atom_site_label
_atom_site_type_symbol
_atom_site_fract_x
_atom_site_fract_y
_atom_site_fract_z
Li1 Li 0.0000 0.0000 0.0000
Li2 Li 0.2500 0.2500 0.5000
Fe1 Fe 0.0000 0.0000 0.5000
Fe2 Fe 0.0000 0.5000 0.0000
Fe3 Fe 0.2500 0.2500 0.0000
Ni1 Ni 0.0000 0.5000 0.5000
O1 O 0.0086 0.2579 0.7625
O2 O 0.2415 0.5000 0.2344
O3 O 0.2464 0.5000 0.7651
```

Its total DFT energy (no corrections) is -6.001 eV per atom.

=====

No. 2
## KV13O20 (PBE with a Hubbard U)

Data for crystalline KV13O20 at its relaxed geometry.

Geometry as CIF:
```
data_KV13O20
_cell_length_a 7.5881
_cell_length_b 8.6199
_cell_length_c 12.8874
_cell_angle_alpha 87.32
_cell_angle_beta 74.68
_cell_angle_gamma 87.06
_space_group_name_H-M_alt 'P -1'
_space_group_IT_number 2
loop_
_space_group_symop_operation_xyz
'x,y,z'
'-x,-y,-z'
loop_
_atom_site_label
_atom_site_type_symbol
_atom_site_fract_x
_atom_site_fract_y
_atom_site_fract_z
K1 K 0.0040 0.2030 0.3123
V1 V 0.1788 0.4011 0.6476
V2 V 0.1815 0.8024 0.2489
V3 V 0.1833 0.9986 0.0470
V4 V 0.1893 0.5747 0.4349
V5 V 0.1906 0.1758 0.8338
V6 V 0.1929 0.5392 0.1353
V7 V 0.1947 0.7451 0.9256
V8 V 0.1988 0.1435 0.5318
V9 V 0.4521 0.7204 0.5998
V10 V 0.4529 0.3122 0.9964
V11 V 0.4585 0.1224 0.2045
V12 V 0.4592 0.5146 0.7951
V13 V 0.4594 0.9163 0.3973
O1 O 0.0820 0.3559 0.5104
O2 O 0.0843 0.7547 0.0957
O3 O 0.0848 0.9518 0.9041
O4 O 0.0875 0.1642 0.6936
O5 O 0.0897 0.5570 0.2885
O6 O 0.2487 0.3998 0.7854
O7 O 0.2504 0.7967 0.3813
O8 O 0.2506 0.0125 0.1814
O9 O 0.2524 0.6037 0.5749
O10 O 0.2528 0.2020 0.9753
O11 O 0.3287 0.5453 0.9709
O12 O 0.3369 0.7329 0.7737
O13 O 0.3388 0.9447 0.5596
O14 O 0.3420 0.1364 0.3753
O15 O 0.3471 0.3482 0.1552
O16 O 0.3927 0.6684 0.1553
O17 O 0.3947 0.8653 0.9554
O18 O 0.3966 0.2677 0.5579
O19 O 0.4164 0.4633 0.3547
O20 O 0.4167 0.0659 0.7563
```

Its total DFT energy (no corrections) is -7.756 eV per atom.

=====

Question: Among the records above, which one has the highest total DFT energy (no corrections)?
Answer: Li3Fe4NiO8

=====

Question: What is the total DFT energy (no corrections) in the second record?
Answer: -7.756 eV per atom

=====

Question: Look up the total DFT energy (no corrections) of the first one.
Answer: -6.001 eV per atom